HfTeAsOs2 GGA-PBE relaxed; space-group type = P4/mmm; formation energy (no corrections) = 175 kJ per mole of atoms; DOS at the Fermi energy = 4.9 states/eV per cell; total magnetic moment = 0.00 μB/cell; mass density = 10.8 g/cm³
1.0
4.784 0.000 0.000
0.000 5.095 0.000
0.000 0.000 4.784
Hf As Os Te
1 1 2 1
direct
0.500 0.500 0.500
0.000 0.500 0.000
0.500 0.000 0.000
0.000 0.000 0.500
0.000 0.000 0.000